The following is a PBE-GGA calculation of CaMg2Cu3 after structural relaxation, from Alexandria via LeMat-Bulk.

```
12
Lattice="4.551 0.000 0.000 -2.276 3.941 0.000 0.000 0.000 12.318" Properties=species:S:1:pos:R:3 pbc="T T T"
Ca 0.000 0.000 3.080
Ca 0.000 0.000 9.239
Mg 0.000 2.628 0.901
Mg 0.000 2.628 5.258
Mg 2.276 1.314 7.060
Mg 2.276 1.314 11.417
Cu 0.000 0.000 0.000
Cu 0.000 0.000 6.159
Cu 0.000 2.628 7.903
Cu 0.000 2.628 10.574
Cu 2.276 1.314 1.744
Cu 2.276 1.314 4.415
```

Properties
calculated volume	18.4	Å³ per atom
calculated total energy	-2.990	eV/atom
energy of formation	-0.077	eV per atom
DOS at the Fermi energy	2.6	states/eV/f.u.

=====

The following is a PBE-GGA calculation of AcHfTe4 after structural relaxation, from Alexandria via LeMat-Bulk.

```
12
Lattice="8.765 -2.847 0.000 8.765 2.847 0.000 -0.717 0.000 9.769" Properties=species:S:1:pos:R:3 pbc="T T T"
Ac 4.113 0.000 2.169
Ac 12.700 0.000 7.600
Hf 1.151 0.000 6.236
Hf 15.662 0.000 3.534
Te 0.901 0.000 3.285
Te 2.030 0.000 8.927
Te 4.093 0.000 5.928
Te 6.841 0.000 3.956
Te 9.971 0.000 5.813
Te 12.720 0.000 3.841
Te 14.783 0.000 0.842
Te 15.911 0.000 6.484
```

Properties
calculated volume	40.6	Å³ per atom
calculated total energy	-5.339	eV/atom
DOS at the Fermi energy	1.0	states/eV/f.u.
uncorrected formation energy	-900	meV per atom

=====

The following is a PBE-GGA calculation of Ho2ZrIn9 after structural relaxation, from Alexandria via LeMat-Bulk.

```
12
Lattice="4.591 0.000 0.000 0.000 4.591 0.000 0.000 0.000 13.755" Properties=species:S:1:pos:R:3 pbc="T T T"
Ho 0.000 0.000 2.372
Ho 0.000 0.000 11.383
Zr 0.000 0.000 6.877
In 0.000 2.296 0.000
In 0.000 2.296 4.662
In 0.000 2.296 9.093
In 2.296 0.000 0.000
In 2.296 0.000 4.662
In 2.296 0.000 9.093
In 2.296 2.296 2.313
In 2.296 2.296 6.877
In 2.296 2.296 11.442
```

Properties
calculated volume	24.2	Å³ per atom
calculated total energy	-3.858	eV/atom
energy of formation	-0.329	eV per atom
DOS at the Fermi energy	4.9	states/eV/f.u.

=====

- The lowest DOS at the Fermi energy belongs to which entry?
  AcHfTe4

=====

- Number 2 is which compound?
  AcHfTe4

=====

- Which value of DOS at the Fermi energy does entry 1 give?
  2.6 states/eV/f.u.